Record 1
MgCr2F12 at its PBEsol-relaxed geometry. Source: the Alexandria database, functional meta-GGA SCAN.

Results
Magnetization (μB per formula unit): 2.0
E_form (uncorrected) (meV per atom): -2631
Space-group type: No. 2
Calculated total energy (eV for the cell shown): -123.7

Lattice parameters (Å, degrees): 4.974 5.256 8.722 74.71 91.01 61.27
Site moments in Bohr magnetons follow the coordinates.
Sites, in units of the cell vectors:
Mg 0.000 0.500 0.500  0.00
Cr 0.773 0.992 0.759  1.01
Cr 0.227 0.008 0.241  1.01
F 0.170 0.764 0.804  -0.03
F 0.647 0.764 0.316  -0.01
F 0.234 0.769 0.137  -0.02
F 0.766 0.764 0.633  0.00
F 0.295 0.227 0.080  0.03
F 0.816 0.237 0.578  0.01
F 0.766 0.231 0.863  -0.02
F 0.234 0.236 0.367  0.00
F 0.830 0.236 0.196  -0.03
F 0.353 0.236 0.684  -0.01
F 0.705 0.773 0.920  0.03
F 0.184 0.763 0.422  0.01

Record 2
NbTeCl9 at its PBEsol-relaxed geometry. Source: the Alexandria database, functional meta-GGA SCAN.

Results
Magnetization (μB per formula unit): 0.0
E_form (uncorrected) (meV per atom): -1042
Space-group type: No. 2
Calculated total energy (eV for the cell shown): -307.3

Lattice parameters (Å, degrees): 6.445 9.411 11.319 106.74 104.50 92.57
Sites, in units of the cell vectors:
Nb 0.118 0.259 0.704
Nb 0.882 0.741 0.296
Te 0.307 0.341 0.164
Te 0.693 0.659 0.836
Cl 0.478 0.124 0.156
Cl 0.522 0.876 0.844
Cl 0.280 0.374 0.372
Cl 0.720 0.626 0.628
Cl 0.134 0.754 0.482
Cl 0.866 0.246 0.518
Cl 0.742 0.492 0.290
Cl 0.258 0.508 0.710
Cl 0.026 0.958 0.278
Cl 0.974 0.042 0.722
Cl 0.115 0.609 0.169
Cl 0.885 0.391 0.831
Cl 0.615 0.691 0.087
Cl 0.385 0.309 0.913
Cl 0.628 0.847 0.391
Cl 0.372 0.153 0.609
Cl 0.036 0.795 0.936
Cl 0.964 0.205 0.064

Record 3
Hf2PtAuSe at its PBEsol-relaxed geometry. Source: the Alexandria database, functional meta-GGA SCAN.

Results
Magnetization (μB per formula unit): 0.0
E_form (uncorrected) (meV per atom): 142
Space-group type: No. 123
Calculated total energy (eV for the cell shown): -284.1

Lattice parameters (Å, degrees): 4.547 4.837 4.837 90.00 90.00 90.00
Sites, in units of the cell vectors:
Hf 0.000 0.000 0.500
Hf 0.000 0.500 0.000
Au 0.500 0.500 0.500
Se 0.000 0.000 0.000
Pt 0.500 0.000 0.000

Record 4
CrRuRh2 at its PBEsol-relaxed geometry. Source: the Alexandria database, functional meta-GGA SCAN.

Results
Magnetization (μB per formula unit): 0.0
Space-group type: No. 25
Calculated total energy (eV for the cell shown): -121.1

Lattice parameters (Å, degrees): 2.649 4.196 4.621 90.00 90.00 90.00
Sites, in units of the cell vectors:
Ru 0.500 0.000 0.535
Rh 0.000 0.000 0.045
Rh 0.000 0.500 0.704
Cr 0.500 0.500 0.217

Record 5
ZrCo2Se at its PBEsol-relaxed geometry. Source: the Alexandria database, functional meta-GGA SCAN.

Results
Magnetization (μB per formula unit): 0.0
E_form (uncorrected) (meV per atom): 0
Space-group type: No. 71
Calculated total energy (eV for the cell shown): -85.4

Lattice parameters (Å, degrees): 3.342 4.213 4.771 116.20 110.50 90.00
Sites, in units of the cell vectors:
Co 0.731 0.731 0.463
Co 0.269 0.269 0.537
Se 0.000 0.500 0.000
Zr 0.500 0.000 0.000

Record 6
Mg3CrN3 at its PBEsol-relaxed geometry. Source: the Alexandria database, functional meta-GGA SCAN.

Results
Magnetization (μB per formula unit): 1.0
E_form (uncorrected) (meV per atom): -841
Space-group type: No. 194
Calculated total energy (eV for the cell shown): -134.1

Lattice parameters (Å, degrees): 4.370 6.813 6.813 120.00 90.00 90.00
Site moments in Bohr magnetons follow the coordinates.
Sites, in units of the cell vectors:
Mg 0.750 0.173 0.827  0.00
Mg 0.750 0.173 0.346  0.00
Mg 0.750 0.654 0.827  0.00
Mg 0.250 0.827 0.173  0.00
Mg 0.250 0.827 0.654  0.00
Mg 0.250 0.346 0.173  0.00
Cr 0.250 0.333 0.667  1.13
Cr 0.750 0.667 0.333  1.13
N 0.250 0.184 0.816  -0.05
N 0.250 0.184 0.368  -0.05
N 0.250 0.632 0.816  -0.05
N 0.750 0.816 0.184  -0.05
N 0.750 0.816 0.632  -0.05
N 0.750 0.368 0.184  -0.05

Record 7
CoBr at its PBEsol-relaxed geometry. Source: the Alexandria database, functional meta-GGA SCAN.

Results
Magnetization (μB per formula unit): 2.0
E_form (uncorrected) (meV per atom): 425
Relative energy among the computed polymorphs (eV/atom): 0.342
Space-group type: No. 187
Calculated total energy (eV for the cell shown): -35.9

Lattice parameters (Å, degrees): 3.401 3.376 3.376 120.00 90.00 90.00
Site moments in Bohr magnetons follow the coordinates.
Sites, in units of the cell vectors:
Co 0.500 0.333 0.667  1.91
Br 0.000 0.000 0.000  0.10

Record 8
Mn2CdMo at its PBEsol-relaxed geometry. Source: the Alexandria database, functional meta-GGA SCAN.

Results
Magnetization (μB per formula unit): 5.2
Space-group type: No. 123
Calculated total energy (eV for the cell shown): -101.5

Lattice parameters (Å, degrees): 3.049 3.049 6.271 90.00 90.00 90.00
Site moments in Bohr magnetons follow the coordinates.
Sites, in units of the cell vectors:
Cd 0.500 0.500 0.500  -0.07
Mn 0.000 0.000 0.789  3.23
Mn 0.000 0.000 0.211  3.23
Mo 0.500 0.500 0.000  -1.28